# TbPmCo

A geometry-optimized TbPmCo structure (GGA-PBE, Alexandria).

Results
Spin magnetization (μB/cell): 0.00
Formation energy from the elements (eV/atom): 0.043

Cell: 7.305 7.156 6.227 Å, 90.00 107.22 90.00°
Space group Cm (No. 8)
Symmetry-distinct sites (fractional):
Tb1 0.000 0.000 0.000 x2
Tb2 0.055 0.500 0.003 x2
Pm1 0.153 0.247 0.520 x4
Co1 0.327 0.173 0.202 x4

# PrTm2ScSb4

A geometry-optimized PrTm2ScSb4 structure (GGA-PBE, Alexandria).

Results
Spin magnetization (μB/cell): 0.00
Uncorrected formation energy (meV/atom): -1033

Cell: 6.178 6.178 12.281 Å, 90.00 90.00 90.00°
Space group I4/mmm (No. 139)
Symmetry-distinct sites (fractional):
Pr1 0.000 0.000 0.000 x2
Tm1 0.000 0.500 0.250 x4
Sc1 0.000 0.000 0.500 x2
Sb1 0.000 0.000 0.260 x4
Sb2 0.000 0.500 0.000 x4

# Pu4Co3Sn16

A geometry-optimized Pu4Co3Sn16 structure (GGA-PBE, Alexandria).

Results
Spin magnetization (μB/cell): 23.26
Formation energy from the elements (eV/atom): -0.160

Cell: 6.421 6.433 13.162 Å, 90.00 90.23 90.00°
Space group P2/m (No. 10)
Symmetry-distinct sites (fractional):
Pu1 0.000 0.000 0.187 x2
Pu2 0.498 0.500 0.187 x2
Co1 0.000 0.500 0.000 x1
Co2 0.000 0.500 0.500 x1
Co3 0.500 0.000 0.500 x1
Sn1 0.002 0.500 0.803 x2
Sn2 0.249 0.250 0.384 x4
Sn3 0.251 0.250 0.616 x4
Sn4 0.271 0.228 0.000 x4
Sn5 0.500 0.000 0.193 x2

# AuC2

A geometry-optimized AuC2 structure (GGA-PBE, Alexandria).

Results
Spin magnetization (μB/cell): 0.00
Formation energy from the elements (eV/atom): 1.546

Cell: 2.955 2.955 7.896 Å, 90.00 90.00 90.00°
Space group P4/nmm (No. 129, origin choice 2)
Symmetry-distinct sites (fractional):
Au1 0.250 0.250 0.132 x2
C1 0.250 0.250 0.409 x2
C2 0.250 0.750 0.500 x2

# Tl2InRu

A geometry-optimized Tl2InRu structure (GGA-PBE, Alexandria).

Results
Spin magnetization (μB/cell): 0.00
Formation energy from the elements (eV/atom): 0.594

Cell: 7.122 7.122 7.122 Å, 90.00 90.00 90.00°
Space group F-43m (No. 216)
Symmetry-distinct sites (fractional):
Tl1 0.000 0.000 0.000 x4
Tl2 0.250 0.250 0.250 x4
In1 0.000 0.000 0.500 x4
Ru1 0.250 0.250 0.750 x4

# Sm7DyY4

A geometry-optimized Sm7DyY4 structure (GGA-PBE, Alexandria).

Results
Spin magnetization (μB/cell): 0.00
Formation energy from the elements (eV/atom): 0.259

Cell: 12.068 6.003 12.732 Å, 90.00 117.69 90.00°
Space group C2/m (No. 12)
Symmetry-distinct sites (fractional):
Sm1 0.000 0.000 0.000 x2
Sm2 0.130 0.500 0.500 x4
Sm3 0.212 0.000 0.922 x4
Sm4 0.245 0.000 0.681 x4
Dy1 0.000 0.500 0.000 x2
Y1 0.062 0.000 0.321 x4
Y2 0.136 0.500 0.776 x4

# DyHo2MgRh4

A geometry-optimized DyHo2MgRh4 structure (GGA-PBE, Alexandria).

Results
Spin magnetization (μB/cell): 0.00
Formation energy from the elements (eV/atom): -0.827

Cell: 4.7294 4.7294 23.2266 Å, 90.00 90.00 120.00°
Space group R-3m (No. 166, hexagonal axes)
Symmetry-distinct sites (fractional):
Dy1 0.0000 0.0000 0.0000 x3
Ho1 0.0000 0.0000 0.2447 x6
Mg1 0.0000 0.0000 0.5000 x3
Rh1 0.0000 0.0000 0.1248 x6
Rh2 0.0000 0.0000 0.3763 x6

# YSe2

A geometry-optimized YSe2 structure (GGA-PBE, Alexandria).

Results
Spin magnetization (μB/cell): 0.00
Uncorrected formation energy (meV/atom): -1442

Cell: 3.907 20.885 4.002 Å, 90.00 90.00 90.00°
Space group Cmcm (No. 63)
Symmetry-distinct sites (fractional):
Y1 0.000 0.141 0.250 x4
Se1 0.000 0.250 0.750 x4
Se2 0.000 0.406 0.250 x4

Look up the spin magnetization of the second one. 0.00 μB/cell